# Ta2SnO

A geometry-optimized Ta2SnO structure (PBE, the Alexandria database).

Relative energy among the computed polymorphs: 39.2 kJ per mole of atoms
Crystal system: cubic
ΔE_f (raw): 0.216 eV per atom
Energy: -7.951 eV per atom
Total magnetic moment: 0.0 μB/f.u.

Cell lengths 4.5332, 4.5332, 4.5332 Å; angles 60.00, 60.00, 60.00 degrees
With the nearest neighbours (Å) after each atom.
Fractional positions:
Sn (0.5000, 0.5000, 0.5000)  8 Ta 2.78
O (0.0000, 0.0000, 0.0000)  8 Ta 2.78
Ta (0.2500, 0.2500, 0.2500)  4 O 2.78, 4 Sn 2.78
Ta (0.7500, 0.7500, 0.7500)  4 Sn 2.78, 4 O 2.78